# 1
# Rb3CoI8 (GGA-PBE, relaxed)
data_Rb3CoI8
_chemical_formula_sum 'Rb3 Co1 I8'
_cell_length_a 9.209
_cell_length_b 9.209
_cell_length_c 9.209
_cell_angle_alpha 120.72
_cell_angle_beta 120.72
_cell_angle_gamma 88.76
_symmetry_space_group_name_H-M 'P 1'
_symmetry_Int_Tables_number 1
loop_
_symmetry_equiv_pos_as_xyz
'x,y,z'
loop_
_atom_site_label
_atom_site_type_symbol
_atom_site_fract_x
_atom_site_fract_y
_atom_site_fract_z
Rb1 Rb 0.000 0.000 0.000
Rb2 Rb 0.250 0.750 0.500
Rb3 Rb 0.750 0.250 0.500
Co1 Co 0.500 0.500 0.000
I1 I 0.158 0.158 0.565
I2 I 0.158 0.593 0.000
I3 I 0.407 0.407 0.565
I4 I 0.407 0.842 0.000
I5 I 0.593 0.158 0.000
I6 I 0.593 0.593 0.435
I7 I 0.842 0.407 0.000
I8 I 0.842 0.842 0.435
# Total magnetic moment ... 2.4 μB per formula unit
# Raw total energy ... -2.388 eV per atom
# Crystal system ... tetragonal
# D(E_F) ... 5.0 states/eV per cell


# 2
# Rb2CoI4 (GGA-PBE, relaxed)
data_Rb2CoI4
_chemical_formula_sum 'Rb4 Co2 I8'
_cell_length_a 7.935
_cell_length_b 8.240
_cell_length_c 10.438
_cell_angle_alpha 90.00
_cell_angle_beta 108.80
_cell_angle_gamma 90.00
_symmetry_space_group_name_H-M 'P 1'
_symmetry_Int_Tables_number 1
loop_
_symmetry_equiv_pos_as_xyz
'x,y,z'
loop_
_atom_site_label
_atom_site_type_symbol
_atom_site_fract_x
_atom_site_fract_y
_atom_site_fract_z
Rb1 Rb 0.210 0.250 0.043
Rb2 Rb 0.285 0.250 0.578
Rb3 Rb 0.715 0.750 0.422
Rb4 Rb 0.790 0.750 0.957
Co1 Co 0.203 0.750 0.790
Co2 Co 0.797 0.250 0.210
I1 I 0.006 0.001 0.271
I2 I 0.006 0.499 0.271
I3 I 0.366 0.750 0.049
I4 I 0.410 0.750 0.642
I5 I 0.590 0.250 0.358
I6 I 0.634 0.250 0.951
I7 I 0.994 0.501 0.729
I8 I 0.994 0.999 0.729
# Total magnetic moment ... 3.0 μB per formula unit
# Raw total energy ... -3.059 eV per atom
# Crystal system ... monoclinic


# 3
# RbCo2I (GGA-PBE, relaxed)
data_RbCo2I
_chemical_formula_sum 'Rb1 Co2 I1'
_cell_length_a 4.893
_cell_length_b 4.893
_cell_length_c 4.893
_cell_angle_alpha 60.00
_cell_angle_beta 60.00
_cell_angle_gamma 60.00
_symmetry_space_group_name_H-M 'P 1'
_symmetry_Int_Tables_number 1
loop_
_symmetry_equiv_pos_as_xyz
'x,y,z'
loop_
_atom_site_label
_atom_site_type_symbol
_atom_site_fract_x
_atom_site_fract_y
_atom_site_fract_z
Rb1 Rb 0.000 0.000 0.000
Co1 Co 0.250 0.250 0.250
Co2 Co 0.750 0.750 0.750
I1 I 0.500 0.500 0.500
# Total magnetic moment ... 2.4 μB per formula unit
# Raw total energy ... -2.899 eV per atom
# Crystal system ... cubic
# D(E_F) ... 7.0 states/eV per cell
# Excess energy over the best structure of this formula in the dataset ... 0.628 eV per atom


# 4
# Rb2CoI4 (GGA-PBE, relaxed)
data_Rb2CoI4
_chemical_formula_sum 'Rb2 Co1 I4'
_cell_length_a 10.101
_cell_length_b 10.101
_cell_length_c 10.101
_cell_angle_alpha 148.10
_cell_angle_beta 148.10
_cell_angle_gamma 45.74
_symmetry_space_group_name_H-M 'P 1'
_symmetry_Int_Tables_number 1
loop_
_symmetry_equiv_pos_as_xyz
'x,y,z'
loop_
_atom_site_label
_atom_site_type_symbol
_atom_site_fract_x
_atom_site_fract_y
_atom_site_fract_z
Rb1 Rb 0.143 0.143 0.000
Rb2 Rb 0.857 0.857 0.000
Co1 Co 0.500 0.500 0.000
I1 I 0.000 0.500 0.500
I2 I 0.345 0.345 0.000
I3 I 0.500 0.000 0.500
I4 I 0.655 0.655 0.000
# Total magnetic moment ... 2.6 μB per formula unit
# Raw total energy ... -2.941 eV per atom
# Crystal system ... tetragonal
# D(E_F) ... 10.0 states/eV per cell


# 5
# Rb3CoI5 (GGA-PBE, relaxed)
data_Rb3CoI5
_chemical_formula_sum 'Rb6 Co2 I10'
_cell_length_a 10.708
_cell_length_b 10.708
_cell_length_c 10.708
_cell_angle_alpha 123.45
_cell_angle_beta 123.45
_cell_angle_gamma 84.11
_symmetry_space_group_name_H-M 'P 1'
_symmetry_Int_Tables_number 1
loop_
_symmetry_equiv_pos_as_xyz
'x,y,z'
loop_
_atom_site_label
_atom_site_type_symbol
_atom_site_fract_x
_atom_site_fract_y
_atom_site_fract_z
Rb1 Rb 0.159 0.659 0.818
Rb2 Rb 0.250 0.250 0.000
Rb3 Rb 0.341 0.159 0.500
Rb4 Rb 0.659 0.841 0.500
Rb5 Rb 0.750 0.750 0.000
Rb6 Rb 0.841 0.341 0.182
Co1 Co 0.250 0.750 0.500
Co2 Co 0.750 0.250 0.500
I1 I 0.000 0.000 0.000
I2 I 0.009 0.795 0.500
I3 I 0.205 0.705 0.214
I4 I 0.295 0.509 0.500
I5 I 0.491 0.991 0.786
I6 I 0.500 0.500 0.000
I7 I 0.509 0.009 0.214
I8 I 0.705 0.491 0.500
I9 I 0.795 0.295 0.786
I10 I 0.991 0.205 0.500
# Total magnetic moment ... 3.0 μB per formula unit
# Raw total energy ... -2.979 eV per atom
# Crystal system ... tetragonal


# 6
# Rb2CoI4 (GGA-PBE, relaxed)
data_Rb2CoI4
_chemical_formula_sum 'Rb4 Co2 I8'
_cell_length_a 7.711
_cell_length_b 8.208
_cell_length_c 11.423
_cell_angle_alpha 90.00
_cell_angle_beta 91.25
_cell_angle_gamma 90.00
_symmetry_space_group_name_H-M 'P 1'
_symmetry_Int_Tables_number 1
loop_
_symmetry_equiv_pos_as_xyz
'x,y,z'
loop_
_atom_site_label
_atom_site_type_symbol
_atom_site_fract_x
_atom_site_fract_y
_atom_site_fract_z
Rb1 Rb 0.192 0.250 0.495
Rb2 Rb 0.195 0.250 0.011
Rb3 Rb 0.805 0.750 0.989
Rb4 Rb 0.808 0.750 0.505
Co1 Co 0.170 0.750 0.252
Co2 Co 0.830 0.250 0.748
I1 I 0.032 0.502 0.751
I2 I 0.032 0.998 0.751
I3 I 0.332 0.750 0.452
I4 I 0.337 0.750 0.060
I5 I 0.663 0.250 0.940
I6 I 0.668 0.250 0.548
I7 I 0.968 0.002 0.249
I8 I 0.968 0.498 0.249
# Total magnetic moment ... 3.0 μB per formula unit
# Raw total energy ... -3.042 eV per atom
# Crystal system ... monoclinic